A relaxed Zn2RhSe crystal. Source: Alexandria via LeMat-Bulk, functional PBE-GGA.

abc: 7.546 7.546 7.546
angles: 25.03 25.03 25.03
Fractional positions:
Se  0.750  0.750  0.750
Rh  0.250  0.250  0.250
Zn  0.997  0.997  0.997
Zn  0.503  0.503  0.503

Formation energy from raw total energies = -0.023 eV/atom
Space group = R-3m (166)
VASP energy = -13.48 eV/cell